## LiPt2Se2 (PBE)

Data for a geometry-optimized LiPt2Se2 structure.

- formation energy from raw total energies (meV/atom) = -312
- symmetry = I4/mmm, No. 139
- energy relative to the lowest polymorph listed for this composition (eV/f.u.) = 0.00
- DOS at the Fermi energy (states/eV per atom) = 0.299

a b c (Å): 4.9047 4.9047 5.4372
angles (deg): 63.19 63.19 90.00
Sites, in units of the cell vectors:
Se 0.7500 0.2500 0.5000
Se 0.2500 0.7500 0.5000
Pt 0.3296 0.3296 0.3407
Pt 0.6704 0.6704 0.6593
Li 0.0000 0.0000 0.0000

---

## CePa4Tc5 (PBE)

Data for a geometry-optimized CePa4Tc5 structure.

- energy relative to the elements (eV/atom) = -0.149
- symmetry = P4/mmm, No. 123
- DOS at the Fermi energy (states/eV per atom) = 1.210

a b c (Å): 3.4455 3.4455 17.3540
angles (deg): 90.00 90.00 90.00
Sites, in units of the cell vectors:
Ce 0.0000 0.0000 0.0000
Pa 0.0000 0.0000 0.2011
Pa 0.0000 0.0000 0.4012
Pa 0.0000 0.0000 0.5988
Pa 0.0000 0.0000 0.7989
Tc 0.5000 0.5000 0.1147
Tc 0.5000 0.5000 0.3009
Tc 0.5000 0.5000 0.5000
Tc 0.5000 0.5000 0.6991
Tc 0.5000 0.5000 0.8853

---

## In2FeMo (PBE)

Data for a geometry-optimized In2FeMo structure.

- energy relative to the elements (eV/atom) = 0.907
- symmetry = I-42d, No. 122
- energy relative to the lowest polymorph listed for this composition (eV/f.u.) = 2.67
- DOS at the Fermi energy (states/eV per atom) = 1.614

a b c (Å): 7.3469 7.3469 5.8770
angles (deg): 51.31 51.31 90.00
Sites, in units of the cell vectors:
Mo 0.0000 0.0000 0.0000
Mo 0.7500 0.2500 0.5000
Fe 0.5000 0.5000 0.0000
Fe 0.2500 0.7500 0.5000
In 0.5954 0.1250 0.2500
In 0.1546 0.6250 0.2500
In 0.3750 0.4046 0.7500
In 0.8750 0.8454 0.7500

---

## Ac3V2N7 (PBE)

Data for a geometry-optimized Ac3V2N7 structure.

- formation energy from raw total energies (meV/atom) = -821
- symmetry = Cmmm, No. 65
- DOS at the Fermi energy (states/eV per atom) = 0.499

a b c (Å): 3.8869 3.9916 11.3058
angles (deg): 100.17 90.00 90.00
Sites, in units of the cell vectors:
Ac 0.5000 0.5000 0.0000
Ac 0.5000 0.6720 0.3439
Ac 0.5000 0.3280 0.6561
V 0.0000 0.9030 0.8060
V 0.0000 0.0970 0.1940
N 0.0000 0.4083 0.8165
N 0.0000 0.8183 0.6367
N 0.0000 0.0000 0.0000
N 0.0000 0.5917 0.1835
N 0.5000 0.0914 0.1827
N 0.5000 0.9086 0.8173
N 0.0000 0.1817 0.3633

---

## Ti6Co2Ni (PBE)

Data for a geometry-optimized Ti6Co2Ni structure.

- energy relative to the elements (eV/atom) = -0.227
- symmetry = Immm, No. 71
- energy relative to the lowest polymorph listed for this composition (eV/f.u.) = 0.00
- DOS at the Fermi energy (states/eV per atom) = 1.220

a b c (Å): 7.0564 7.0564 7.0564
angles (deg): 108.30 111.26 108.86
Sites, in units of the cell vectors:
Ti 0.5321 0.7148 0.8173
Ti 0.4679 0.2852 0.1827
Ti 0.1025 0.2852 0.8173
Ti 0.8975 0.7148 0.1827
Ti 0.8042 0.7577 0.5619
Ti 0.1958 0.2423 0.4381
Ti 0.1958 0.7577 0.9534
Ti 0.8042 0.2423 0.0466
Ti 0.7152 0.3895 0.6742
Ti 0.2848 0.6105 0.3258
Ti 0.2848 0.9590 0.6742
Ti 0.7152 0.0410 0.3258
Co 0.5000 0.3546 0.8546
Co 0.5000 0.6454 0.1454
Co 0.6534 0.0000 0.6534
Co 0.3466 0.0000 0.3466
Ni 0.0000 0.5000 0.5000
Ni 0.0000 0.0000 0.0000

---

## Nd5Te2Cl3O10 (PBE)

Data for a geometry-optimized Nd5Te2Cl3O10 structure.

- formation energy from raw total energies (meV/atom) = -2596
- symmetry = C2/m, No. 12
- DOS at the Fermi energy (states/eV per atom) = 0.000

a b c (Å): 6.9999 6.9999 10.3062
angles (deg): 90.47 90.47 48.13
Sites, in units of the cell vectors:
Nd 0.4012 0.4012 0.2310
Nd 0.7106 0.7106 0.1040
Nd 0.5988 0.5988 0.7690
Nd 0.2894 0.2894 0.8960
Nd 0.0000 0.0000 0.0000
Te 0.9118 0.9118 0.6726
Te 0.0882 0.0882 0.3274
Cl 0.8441 0.8441 0.3463
Cl 0.1559 0.1559 0.6537
Cl 0.5000 0.5000 0.5000
O 0.8911 0.3991 0.9419
O 0.6009 0.1089 0.0581
O 0.8131 0.2979 0.2031
O 0.3991 0.8911 0.9419
O 0.7021 0.1869 0.7969
O 0.1089 0.6009 0.0581
O 0.2979 0.8131 0.2031
O 0.2298 0.2298 0.2879
O 0.1869 0.7021 0.7969
O 0.7702 0.7702 0.7121

---

## Zn2CrAs2 (PBE)

Data for a geometry-optimized Zn2CrAs2 structure.

- energy relative to the elements (eV/atom) = 0.414
- symmetry = I4/mmm, No. 139
- energy relative to the lowest polymorph listed for this composition (eV/f.u.) = 1.18
- DOS at the Fermi energy (states/eV per atom) = 0.389

a b c (Å): 6.3515 6.3515 6.3515
angles (deg): 141.98 141.98 54.86
Sites, in units of the cell vectors:
Zn 0.6053 0.6053 0.0000
Zn 0.3947 0.3947 0.0000
Cr 0.0000 0.0000 0.0000
As 0.2500 0.7500 0.5000
As 0.7500 0.2500 0.5000

---

## AcGePd3 (PBE)

Data for a geometry-optimized AcGePd3 structure.

- energy relative to the elements (eV/atom) = -0.789
- symmetry = Cmcm, No. 63
- energy relative to the lowest polymorph listed for this composition (eV/f.u.) = 0.00
- DOS at the Fermi energy (states/eV per atom) = 0.438

a b c (Å): 6.1722 6.1718 6.0576
angles (deg): 90.00 90.00 62.45
Sites, in units of the cell vectors:
Ac 0.0251 0.2276 0.0524
Ac 0.5355 0.7381 0.5524
Ge 0.8687 0.0713 0.5524
Ge 0.6919 0.8944 0.0524
Pd 0.1014 0.3040 0.5524
Pd 0.4592 0.6617 0.0524
Pd 0.5025 0.2606 0.8024
Pd 0.5025 0.2606 0.3024
Pd 0.0581 0.7051 0.3024
Pd 0.0581 0.7051 0.8024